# SrHgSe2, relaxed, DFT PBE-GGA
data_SrHgSe2
_cell_length_a 4.3656
_cell_length_b 4.3656
_cell_length_c 20.2604
_cell_angle_alpha 90.00
_cell_angle_beta 90.00
_cell_angle_gamma 120.00
_symmetry_space_group_name_H-M 'R -3 m'
_symmetry_Int_Tables_number 166
_symmetry_space_group_name_Hall '-R 3 2"'
loop_
_atom_site_label
_atom_site_fract_x
_atom_site_fract_y
_atom_site_fract_z
Sr1 0.0000 0.0000 0.0000
Hg1 0.0000 0.0000 0.5000
Se1 0.0000 0.0000 0.2429
# Mass density: 6.6 g/cm3
# Electronic total energy: -3.21 eV/atom
# Formation energy (no corrections): -94 kJ/mol of atoms